Density functional theory data (PBE) for a geometry-optimized Sc3Be structure.

Geometry as POSCAR:
```
Sc3Be
1.0
3.242 0.000 0.000
-1.621 2.808 0.000
0.000 0.000 27.947
Sc Be
9 3
direct
0.000 0.000 0.000
0.000 0.000 0.236
0.000 0.000 0.764
0.333 0.667 0.431
0.333 0.667 0.667
0.333 0.667 0.903
0.667 0.333 0.097
0.667 0.333 0.333
0.667 0.333 0.569
0.000 0.000 0.500
0.333 0.667 0.167
0.667 0.333 0.833
```

E: -5.50 eV/atom

=====

Density functional theory data (PBE) for a geometry-optimized CrMo2Rh structure.

Geometry as POSCAR:
```
CrMo2Rh
1.0
6.162 0.000 0.000
0.000 6.162 0.000
0.000 0.000 6.162
Cr Mo Rh
4 8 4
direct
0.000 0.000 0.000
0.000 0.500 0.500
0.500 0.000 0.500
0.500 0.500 0.000
0.250 0.250 0.250
0.250 0.250 0.750
0.250 0.750 0.250
0.250 0.750 0.750
0.750 0.250 0.250
0.750 0.250 0.750
0.750 0.750 0.250
0.750 0.750 0.750
0.000 0.000 0.500
0.000 0.500 0.000
0.500 0.000 0.000
0.500 0.500 0.500
```

E: -9.41 eV/atom

=====

Density functional theory data (PBE) for a geometry-optimized Tc2MoOs structure.

Geometry as POSCAR:
```
Tc2MoOs
1.0
3.820 0.000 0.000
0.000 3.820 0.000
0.000 0.000 17.842
Tc Mo Os
8 4 4
direct
0.233 0.250 0.125
0.250 0.733 0.375
0.250 0.767 0.875
0.267 0.250 0.625
0.733 0.750 0.625
0.750 0.233 0.875
0.750 0.267 0.375
0.767 0.750 0.125
0.000 0.000 0.500
0.000 0.500 0.750
0.500 0.000 0.250
0.500 0.500 0.000
0.000 0.000 0.000
0.000 0.500 0.250
0.500 0.000 0.750
0.500 0.500 0.500
```

E: -9.91 eV/atom

=====

Density functional theory data (PBE) for a geometry-optimized DyHPb structure.

Geometry as POSCAR:
```
DyHPb
1.0
3.578 0.000 0.000
0.010 5.582 0.000
1.782 0.410 6.089
Dy H Pb
2 2 2
direct
0.138 0.348 0.227
0.862 0.652 0.773
0.269 0.623 0.961
0.731 0.377 0.039
0.396 0.156 0.703
0.604 0.844 0.297
```

E: -4.36 eV/atom

=====

Density functional theory data (PBE) for a geometry-optimized BaPaCdS4 structure.

Geometry as POSCAR:
```
BaPaCdS4
1.0
-4.091 4.158 6.336
4.091 -4.158 6.336
4.091 4.158 -6.336
Ba Pa Cd S
2 2 2 8
direct
0.396 0.146 0.250
0.604 0.854 0.750
0.000 0.500 0.500
0.500 0.500 0.000
0.000 0.000 0.500
0.000 0.500 0.000
0.174 0.715 0.459
0.244 0.285 0.959
0.247 0.280 0.534
0.247 0.713 0.966
0.753 0.287 0.034
0.753 0.720 0.466
0.756 0.715 0.041
0.826 0.285 0.541
```

ΔE_f (raw): -1.34 eV/atom
E: -5.46 eV/atom

=====

Density functional theory data (PBE) for a geometry-optimized ScCr2Mo structure.

Geometry as POSCAR:
```
ScCr2Mo
1.0
6.912 0.000 0.000
0.000 6.912 0.000
0.000 0.000 5.538
Sc Cr Mo
4 8 4
direct
0.000 0.000 0.000
0.000 0.500 0.250
0.500 0.000 0.750
0.500 0.500 0.500
0.219 0.250 0.625
0.250 0.719 0.875
0.250 0.781 0.375
0.281 0.250 0.125
0.719 0.750 0.125
0.750 0.219 0.375
0.750 0.281 0.875
0.781 0.750 0.625
0.000 0.000 0.500
0.000 0.500 0.750
0.500 0.000 0.250
0.500 0.500 0.000
```

E: -8.37 eV/atom

=====

Density functional theory data (PBE) for a geometry-optimized LiRh2 structure.

Geometry as POSCAR:
```
LiRh2
1.0
5.518 0.000 0.000
0.000 5.518 0.000
0.000 0.000 5.518
Li Rh
4 8
direct
0.000 0.000 0.000
0.000 0.500 0.500
0.500 0.000 0.500
0.500 0.500 0.000
0.250 0.250 0.250
0.250 0.250 0.750
0.250 0.750 0.250
0.250 0.750 0.750
0.750 0.250 0.250
0.750 0.250 0.750
0.750 0.750 0.250
0.750 0.750 0.750
```

E: -5.03 eV/atom

=====

Density functional theory data (PBE) for a geometry-optimized NaPa2SnO8 structure.

Geometry as POSCAR:
```
NaPa2SnO8
1.0
3.471 -3.532 0.000
3.471 3.532 0.000
0.000 0.000 7.143
Na Pa Sn O
1 2 1 8
direct
0.000 0.000 0.000
0.500 0.500 0.247
0.500 0.500 0.753
0.000 0.000 0.500
0.199 0.199 0.281
0.199 0.199 0.719
0.303 0.697 0.500
0.321 0.679 0.000
0.679 0.321 0.000
0.697 0.303 0.500
0.801 0.801 0.281
0.801 0.801 0.719
```

ΔE_f (raw): -2.63 eV/atom
E: -7.96 eV/atom

=====

Density functional theory data (PBE) for a geometry-optimized CsCuN structure.

Geometry as POSCAR:
```
CsCuN
1.0
5.533 0.000 0.000
-2.767 4.792 0.000
0.000 0.000 3.523
Cs Cu N
1 1 1
direct
0.000 0.000 0.000
0.667 0.333 0.500
0.667 0.333 0.000
```

ΔE_f (raw): 0.30 eV/atom
E: -4.12 eV/atom

=====

Density functional theory data (PBE) for a geometry-optimized NiPd structure.

Geometry as POSCAR:
```
NiPd
1.0
0.000 3.649 4.750
3.319 0.000 4.750
3.319 3.649 0.000
Ni Pd
4 4
direct
0.047 0.703 0.703
0.297 0.953 0.953
0.703 0.047 0.047
0.953 0.297 0.297
0.191 0.559 0.191
0.441 0.809 0.441
0.559 0.191 0.559
0.809 0.441 0.809
```

E: -5.15 eV/atom

=====

Density functional theory data (PBE) for a geometry-optimized ZnBrCl structure.

Geometry as POSCAR:
```
ZnBrCl
1.0
7.953 0.000 0.000
0.000 6.356 0.000
-1.679 0.000 7.486
Zn Br Cl
4 4 4
direct
0.150 0.161 0.285
0.150 0.339 0.785
0.850 0.661 0.215
0.850 0.839 0.715
0.331 0.248 0.576
0.331 0.252 0.076
0.669 0.748 0.924
0.669 0.752 0.424
0.123 0.705 0.776
0.123 0.795 0.276
0.877 0.205 0.724
0.877 0.295 0.224
```

ΔE_f (raw): -1.01 eV/atom
E: -2.61 eV/atom

=====

Density functional theory data (PBE) for a geometry-optimized Ca2LaSm4 structure.

Geometry as POSCAR:
```
Ca2LaSm4
1.0
5.477 0.000 0.000
0.000 25.586 0.000
0.000 0.000 3.592
Ca La Sm
4 2 8
direct
0.000 0.210 0.000
0.000 0.790 0.000
0.500 0.290 0.000
0.500 0.710 0.000
0.000 0.500 0.500
0.500 0.000 0.500
0.000 0.071 0.000
0.000 0.360 0.500
0.000 0.640 0.500
0.000 0.929 0.000
0.500 0.140 0.500
0.500 0.429 0.000
0.500 0.571 0.000
0.500 0.860 0.500
```

E: -3.88 eV/atom

=====

Density functional theory data (PBE) for a geometry-optimized KZrP2 structure.

Geometry as POSCAR:
```
KZrP2
1.0
4.030 0.000 0.000
0.000 4.030 0.000
0.000 0.000 9.927
K Zr P
2 2 4
direct
0.000 0.000 0.000
0.500 0.500 0.500
0.000 0.500 0.250
0.500 0.000 0.750
0.000 0.000 0.500
0.000 0.500 0.750
0.500 0.000 0.250
0.500 0.500 0.000
```

E: -5.06 eV/atom

=====

Density functional theory data (PBE) for a geometry-optimized MnWAu2 structure.

Geometry as POSCAR:
```
MnWAu2
1.0
9.500 0.000 0.000
0.000 2.816 0.000
-0.784 0.000 4.877
Mn W Au
2 2 4
direct
0.000 0.000 0.000
0.500 0.500 0.000
0.000 0.500 0.500
0.500 0.000 0.500
0.249 0.000 0.750
0.251 0.500 0.250
0.749 0.500 0.750
0.751 0.000 0.250
```

E: -6.80 eV/atom

=====

Density functional theory data (PBE) for a geometry-optimized Ba3Zn2Ag4 structure.

Geometry as POSCAR:
```
Ba3Zn2Ag4
1.0
6.145 -2.402 0.000
6.145 2.402 0.000
-2.400 0.000 9.160
Ba Zn Ag
3 2 4
direct
0.000 0.000 0.000
0.337 0.337 0.331
0.663 0.663 0.669
0.386 0.386 0.716
0.614 0.614 0.284
0.063 0.063 0.388
0.283 0.283 0.938
0.717 0.717 0.062
0.937 0.937 0.612
```

E: -2.45 eV/atom

=====

Density functional theory data (PBE) for a geometry-optimized CsH4Cl3 structure.

Geometry as POSCAR:
```
CsH4Cl3
1.0
10.973 0.000 0.000
0.000 5.576 0.000
-2.131 0.000 6.165
Cs H Cl
2 8 6
direct
0.000 0.000 0.000
0.500 0.500 0.000
0.177 0.000 0.561
0.232 0.000 0.515
0.268 0.500 0.485
0.323 0.500 0.439
0.677 0.500 0.561
0.732 0.500 0.515
0.768 0.000 0.485
0.823 0.000 0.439
0.000 0.500 0.500
0.148 0.500 0.845
0.352 0.000 0.155
0.500 0.000 0.500
0.648 0.000 0.845
0.852 0.500 0.155
```

E: -3.01 eV/atom

=====

Density functional theory data (PBE) for a geometry-optimized BeZn2Hg structure.

Geometry as POSCAR:
```
BeZn2Hg
1.0
8.568 0.000 0.000
0.000 3.332 0.000
-0.863 0.000 4.458
Be Zn Hg
2 4 2
direct
0.000 0.000 0.000
0.500 0.500 0.000
0.239 0.500 0.207
0.261 0.000 0.793
0.739 0.000 0.207
0.761 0.500 0.793
0.000 0.500 0.500
0.500 0.000 0.500
```

E: -1.37 eV/atom

=====

Density functional theory data (PBE) for a geometry-optimized ErTm5Sn6 structure.

Geometry as POSCAR:
```
ErTm5Sn6
1.0
2.812 -6.926 0.000
2.812 6.926 0.000
-1.763 0.000 8.273
Er Tm Sn
1 5 6
direct
0.000 0.000 0.000
0.000 0.000 0.500
0.333 0.667 0.000
0.334 0.666 0.500
0.666 0.334 0.500
0.667 0.333 0.000
0.166 0.832 0.251
0.168 0.834 0.749
0.497 0.497 0.751
0.503 0.503 0.249
0.832 0.166 0.251
0.834 0.168 0.749
```

E: -4.83 eV/atom

=====

Density functional theory data (PBE) for a geometry-optimized CaSb3Se structure.

Geometry as POSCAR:
```
CaSb3Se
1.0
5.448 0.000 0.000
0.000 5.448 0.000
0.000 0.000 5.448
Ca Sb Se
1 3 1
direct
0.000 0.000 0.000
0.000 0.500 0.500
0.500 0.000 0.500
0.500 0.500 0.000
0.500 0.500 0.500
```

ΔE_f (raw): 0.09 eV/atom
E: -3.48 eV/atom

=====

Density functional theory data (PBE) for a geometry-optimized Sr2HoZn structure.

Geometry as POSCAR:
```
Sr2HoZn
1.0
3.805 0.000 0.000
-1.903 3.296 0.000
0.000 0.000 35.821
Sr Ho Zn
6 3 3
direct
0.000 0.000 0.100
0.000 0.000 0.900
0.333 0.667 0.567
0.333 0.667 0.766
0.667 0.333 0.234
0.667 0.333 0.433
0.000 0.000 0.000
0.333 0.667 0.667
0.667 0.333 0.333
0.000 0.000 0.500
0.333 0.667 0.167
0.667 0.333 0.833
```

E: -2.00 eV/atom